First-principles (GGA+U) data for a relaxed Li2CoS2O8 crystal, as listed in OQMD via LeMat-Bulk. Values from VASP.

Cell and atoms, written as Quantum ESPRESSO input:
```
&SYSTEM
  ibrav = 0, nat = 26, ntyp = 4
/
ATOMIC_SPECIES
S 32.06 S.upf
O 16.00 O.upf
Li 6.94 Li.upf
Co 58.93 Co.upf
CELL_PARAMETERS angstrom
4.944 0.000 0.000
0.000 8.016 0.000
-4.597 0.000 7.362
ATOMIC_POSITIONS crystal
S 0.343 0.302 0.306
S 0.343 0.198 0.806
S 0.657 0.802 0.194
S 0.657 0.698 0.694
O 0.309 0.702 0.624
O 0.816 0.582 0.846
O 0.700 0.650 0.543
O 0.184 0.418 0.154
O 0.700 0.850 0.043
O 0.300 0.150 0.957
O 0.300 0.350 0.457
O 0.207 0.130 0.251
O 0.309 0.798 0.124
O 0.184 0.082 0.654
O 0.691 0.202 0.876
O 0.691 0.298 0.376
O 0.816 0.918 0.346
O 0.207 0.370 0.751
O 0.793 0.630 0.249
O 0.793 0.870 0.749
Li 0.002 0.867 0.602
Li 0.002 0.633 0.102
Li 0.998 0.367 0.898
Li 0.998 0.133 0.398
Co 0.000 0.500 0.500
Co 0.000 0.000 0.000
```

## Properties
Calculated total energy (eV/atom): -5.996
Crystal system: monoclinic

First-principles (GGA+U) data for a relaxed Li4CoSbO6 crystal, as listed in OQMD via LeMat-Bulk. Values from VASP.

Cell and atoms, written as Quantum ESPRESSO input:
```
&SYSTEM
  ibrav = 0, nat = 12, ntyp = 4
/
ATOMIC_SPECIES
O 16.00 O.upf
Li 6.94 Li.upf
Sb 121.76 Sb.upf
Co 58.93 Co.upf
CELL_PARAMETERS angstrom
-2.575 -4.435 0.001
-2.575 4.435 0.001
1.750 0.000 -4.817
ATOMIC_POSITIONS crystal
O 0.929 0.577 0.229
O 0.073 0.425 0.762
O 0.575 0.927 0.238
O 0.777 0.774 0.765
O 0.226 0.223 0.235
O 0.423 0.071 0.771
Li 0.500 0.500 0.000
Li 0.345 0.655 0.500
Li 0.665 0.335 0.500
Li 0.987 0.013 0.500
Sb 0.168 0.832 0.000
Co 0.832 0.168 0.000
```

## Properties
Calculated total energy (eV/atom): -5.605
Crystal system: monoclinic

First-principles (GGA+U) data for a relaxed Li3Co2SbO6 crystal, as listed in OQMD via LeMat-Bulk. Values from VASP.

Cell and atoms, written as Quantum ESPRESSO input:
```
&SYSTEM
  ibrav = 0, nat = 12, ntyp = 4
/
ATOMIC_SPECIES
O 16.00 O.upf
Li 6.94 Li.upf
Co 58.93 Co.upf
Sb 121.76 Sb.upf
CELL_PARAMETERS angstrom
2.610 -4.528 0.000
2.610 4.528 0.000
-1.754 0.000 4.848
ATOMIC_POSITIONS crystal
O 0.762 0.762 0.233
O 0.398 0.081 0.238
O 0.919 0.602 0.762
O 0.238 0.238 0.767
O 0.081 0.398 0.238
O 0.602 0.919 0.762
Li 0.500 0.500 0.500
Li 0.828 0.172 0.500
Li 0.172 0.828 0.500
Co 0.332 0.668 0.000
Co 0.668 0.332 0.000
Sb 0.000 0.000 0.000
```

## Properties
Calculated total energy (eV/atom): -5.742
Crystal system: monoclinic

First-principles (GGA+U) data for a relaxed Li4CoSiO6 crystal, as listed in OQMD via LeMat-Bulk. Values from VASP.

Cell and atoms, written as Quantum ESPRESSO input:
```
&SYSTEM
  ibrav = 0, nat = 12, ntyp = 4
/
ATOMIC_SPECIES
Li 6.94 Li.upf
O 16.00 O.upf
Co 58.93 Co.upf
Si 28.09 Si.upf
CELL_PARAMETERS angstrom
4.383 -1.412 1.612
-3.952 -0.429 2.828
-0.896 -3.684 -3.161
ATOMIC_POSITIONS crystal
Li 0.656 0.344 0.500
Li 0.001 0.999 0.500
Li 0.501 0.499 0.000
Li 0.340 0.660 0.500
O 0.049 0.402 0.777
O 0.772 0.795 0.777
O 0.440 0.067 0.783
O 0.933 0.560 0.217
O 0.598 0.951 0.223
O 0.205 0.228 0.223
Co 0.170 0.830 0.000
Si 0.837 0.163 0.000
```

## Properties
Calculated total energy (eV/atom): -5.950
Crystal system: monoclinic
E above lowest polymorph (eV/atom): 0.000

First-principles (GGA+U) data for a relaxed Li4CoSnO6 crystal, as listed in OQMD via LeMat-Bulk. Values from VASP.

Cell and atoms, written as Quantum ESPRESSO input:
```
&SYSTEM
  ibrav = 0, nat = 12, ntyp = 4
/
ATOMIC_SPECIES
Li 6.94 Li.upf
O 16.00 O.upf
Sn 118.71 Sn.upf
Co 58.93 Co.upf
CELL_PARAMETERS angstrom
-2.579 -4.464 -0.011
-2.579 4.464 -0.011
1.731 0.000 -4.815
ATOMIC_POSITIONS crystal
Li 0.336 0.664 0.500
Li 0.501 0.499 0.000
Li 0.015 0.985 0.500
Li 0.652 0.348 0.500
O 0.234 0.224 0.239
O 0.076 0.437 0.762
O 0.563 0.924 0.238
O 0.776 0.766 0.761
O 0.934 0.592 0.232
O 0.408 0.066 0.768
Sn 0.834 0.166 0.000
Co 0.170 0.830 0.000
```

## Properties
Calculated total energy (eV/atom): -5.446
Crystal system: monoclinic

First-principles (GGA+U) data for a relaxed Li3Ta3Co2O12 crystal, as listed in OQMD via LeMat-Bulk. Values from VASP.

Cell and atoms, written as Quantum ESPRESSO input:
```
&SYSTEM
  ibrav = 0, nat = 80, ntyp = 4
/
ATOMIC_SPECIES
O 16.00 O.upf
Co 58.93 Co.upf
Li 6.94 Li.upf
Ta 180.95 Ta.upf
CELL_PARAMETERS angstrom
5.668 5.668 5.668
-5.668 5.668 -5.668
-5.668 -5.668 5.668
ATOMIC_POSITIONS crystal
O 0.326 0.414 0.044
O 0.956 0.282 0.870
O 0.718 0.174 0.088
O 0.414 0.588 0.870
O 0.914 0.544 0.326
O 0.782 0.912 0.826
O 0.130 0.544 0.218
O 0.718 0.044 0.630
O 0.282 0.826 0.912
O 0.412 0.326 0.782
O 0.630 0.912 0.086
O 0.914 0.870 0.588
O 0.674 0.586 0.956
O 0.218 0.088 0.174
O 0.586 0.674 0.456
O 0.044 0.826 0.914
O 0.588 0.414 0.370
O 0.826 0.282 0.412
O 0.370 0.782 0.456
O 0.544 0.914 0.826
O 0.086 0.130 0.412
O 0.870 0.456 0.782
O 0.412 0.586 0.630
O 0.630 0.218 0.544
O 0.674 0.588 0.718
O 0.044 0.718 0.130
O 0.218 0.630 0.044
O 0.588 0.674 0.218
O 0.456 0.870 0.282
O 0.174 0.718 0.588
O 0.370 0.088 0.914
O 0.086 0.456 0.674
O 0.870 0.914 0.088
O 0.456 0.086 0.174
O 0.130 0.086 0.912
O 0.912 0.630 0.586
O 0.826 0.044 0.414
O 0.956 0.174 0.086
O 0.282 0.956 0.370
O 0.912 0.782 0.326
O 0.326 0.412 0.282
O 0.586 0.412 0.130
O 0.174 0.956 0.586
O 0.782 0.370 0.956
O 0.088 0.218 0.674
O 0.414 0.326 0.544
O 0.544 0.130 0.718
O 0.088 0.370 0.414
Co 0.000 0.500 0.500
Co 0.500 0.000 0.000
Co 0.500 0.000 0.500
Co 0.000 0.000 0.000
Co 0.000 0.500 0.000
Co 0.500 0.500 0.500
Co 0.500 0.500 0.000
Co 0.000 0.000 0.500
Li 0.250 0.625 0.875
Li 0.875 0.750 0.125
Li 0.375 0.125 0.750
Li 0.375 0.750 0.625
Li 0.125 0.375 0.250
Li 0.875 0.625 0.750
Li 0.250 0.125 0.375
Li 0.625 0.250 0.375
Li 0.125 0.250 0.875
Li 0.750 0.875 0.625
Li 0.750 0.375 0.125
Li 0.625 0.875 0.250
Ta 0.375 0.250 0.125
Ta 0.750 0.125 0.875
Ta 0.625 0.750 0.875
Ta 0.250 0.875 0.125
Ta 0.625 0.375 0.750
Ta 0.125 0.875 0.750
Ta 0.750 0.625 0.375
Ta 0.875 0.125 0.250
Ta 0.875 0.250 0.625
Ta 0.250 0.375 0.625
Ta 0.125 0.750 0.375
Ta 0.375 0.625 0.250
```

## Properties
Calculated total energy (eV/atom): -7.603
Crystal system: cubic

First-principles (GGA+U) data for a relaxed Li4CoTcO6 crystal, as listed in OQMD via LeMat-Bulk. Values from VASP.

Cell and atoms, written as Quantum ESPRESSO input:
```
&SYSTEM
  ibrav = 0, nat = 12, ntyp = 4
/
ATOMIC_SPECIES
O 16.00 O.upf
Co 58.93 Co.upf
Li 6.94 Li.upf
Tc 98.00 Tc.upf
CELL_PARAMETERS angstrom
-2.496 2.562 -3.556
2.542 -4.179 -1.230
-3.883 -2.056 2.452
ATOMIC_POSITIONS crystal
O 0.931 0.594 0.235
O 0.406 0.069 0.765
O 0.242 0.228 0.236
O 0.084 0.436 0.762
O 0.772 0.758 0.764
O 0.564 0.916 0.238
Co 0.833 0.167 0.000
Li 0.996 0.004 0.500
Li 0.500 0.500 0.000
Li 0.662 0.338 0.500
Li 0.343 0.657 0.500
Tc 0.168 0.832 0.000
```

## Properties
Calculated total energy (eV/atom): -6.053
Crystal system: monoclinic

First-principles (GGA+U) data for a relaxed Li2CoTeO6 crystal, as listed in OQMD via LeMat-Bulk. Values from VASP.

Cell and atoms, written as Quantum ESPRESSO input:
```
&SYSTEM
  ibrav = 0, nat = 20, ntyp = 4
/
ATOMIC_SPECIES
O 16.00 O.upf
Li 6.94 Li.upf
Co 58.93 Co.upf
Te 127.60 Te.upf
CELL_PARAMETERS angstrom
-1.690 -3.981 2.033
4.409 -0.713 2.271
-2.580 4.351 6.375
ATOMIC_POSITIONS crystal
O 0.244 0.658 0.244
O 0.295 0.680 0.581
O 0.795 0.820 0.081
O 0.203 0.665 0.919
O 0.256 0.158 0.744
O 0.705 0.320 0.581
O 0.797 0.335 0.919
O 0.297 0.165 0.419
O 0.205 0.180 0.081
O 0.744 0.842 0.744
O 0.756 0.342 0.244
O 0.703 0.835 0.419
Li 0.000 0.500 0.695
Li 0.500 0.000 0.195
Li 0.000 0.000 0.294
Li 0.500 0.500 0.794
Co 0.000 0.500 0.090
Co 0.500 0.000 0.590
Te 0.000 0.000 0.903
Te 0.500 0.500 0.403
```

## Properties
Calculated total energy (eV/atom): -5.462
Crystal system: orthorhombic

Look up the calculated total energy of the sixth one.
-7.603 eV/atom